Pr12Ag6Ru | PBE | relaxed

```
Pr12Ag6Ru
1.0
8.374 0.375 0.449
-0.899 8.334 0.449
-0.899 -1.047 8.281
Pr Ag Ru
12 6 1
Direct
0.319 0.969 0.089 Pr
0.541 0.194 0.433 Pr
0.194 0.433 0.541 Pr
0.681 0.031 0.911 Pr
0.911 0.681 0.031 Pr
0.969 0.089 0.319 Pr
0.031 0.911 0.681 Pr
0.089 0.319 0.969 Pr
0.567 0.459 0.806 Pr
0.459 0.806 0.567 Pr
0.806 0.567 0.459 Pr
0.433 0.541 0.194 Pr
0.659 0.857 0.259 Ag
0.259 0.659 0.857 Ag
0.857 0.259 0.659 Ag
0.143 0.741 0.341 Ag
0.341 0.143 0.741 Ag
0.741 0.341 0.143 Ag
0.000 0.000 0.000 Ru
```

Values from the calculation:
Formation energy from the elements in eV/atom: -0.08
V in Å³ per cell: 588
Space group: No. 148
Raw total energy in eV for the cell shown: -85.2